1.
# Ta4Mn3Co

Crystalline Ta4Mn3Co at its relaxed geometry (GGA-PBE, the Alexandria database).

a b c (Å): 3.066 4.338 8.660
angles (deg): 90.00 90.00 90.00
Site moments in Bohr magnetons follow the coordinates.
Sites, in units of the cell vectors:
Mn  0.500  0.000  0.751  0.05
Mn  0.500  0.000  0.249  0.05
Mn  0.500  0.500  0.500  0.10
Ta  0.000  0.500  0.252  0.02
Ta  0.000  0.500  0.748  0.02
Ta  0.000  0.000  0.000  0.09
Ta  0.000  0.000  0.500  -0.02
Co  0.500  0.500  0.000  1.27

Summary:
The value obtained for the total moment is 1.6 μB/cell. The formation energy is -161 kJ/mol of formula units.

=====

2.
# Nd8AlTl2

Crystalline Nd8AlTl2 at its relaxed geometry (GGA-PBE, the Alexandria database).

a b c (Å): 5.823 8.867 8.867
angles (deg): 118.58 103.97 103.97
Sites, in units of the cell vectors:
Nd  0.923  0.688  0.907
Nd  0.500  0.217  0.783
Nd  0.500  0.783  0.217
Nd  0.077  0.312  0.093
Nd  0.311  0.611  0.611
Nd  0.689  0.389  0.389
Nd  0.077  0.093  0.312
Nd  0.923  0.907  0.688
Tl  0.000  0.696  0.304
Tl  0.000  0.304  0.696
Al  0.500  0.000  0.000

Summary:
The value obtained for the total moment is 0.0 μB/cell. The distance to the lowest polymorph of the same formula comes out at 85 meV per atom. The formation energy is -104 kJ/mol of formula units.

=====

The highest total moment belongs to which entry?
Ta4Mn3Co

=====

Please write out number 1 again, unchanged.
# Ta4Mn3Co

Crystalline Ta4Mn3Co at its relaxed geometry (GGA-PBE, the Alexandria database).

a b c (Å): 3.066 4.338 8.660
angles (deg): 90.00 90.00 90.00
Site moments in Bohr magnetons follow the coordinates.
Sites, in units of the cell vectors:
Mn  0.500  0.000  0.751  0.05
Mn  0.500  0.000  0.249  0.05
Mn  0.500  0.500  0.500  0.10
Ta  0.000  0.500  0.252  0.02
Ta  0.000  0.500  0.748  0.02
Ta  0.000  0.000  0.000  0.09
Ta  0.000  0.000  0.500  -0.02
Co  0.500  0.500  0.000  1.27

Summary:
The value obtained for the total moment is 1.6 μB/cell. The formation energy is -161 kJ/mol of formula units.

=====

Copy entry 1 word for word.
# Ta4Mn3Co

Crystalline Ta4Mn3Co at its relaxed geometry (GGA-PBE, the Alexandria database).

a b c (Å): 3.066 4.338 8.660
angles (deg): 90.00 90.00 90.00
Site moments in Bohr magnetons follow the coordinates.
Sites, in units of the cell vectors:
Mn  0.500  0.000  0.751  0.05
Mn  0.500  0.000  0.249  0.05
Mn  0.500  0.500  0.500  0.10
Ta  0.000  0.500  0.252  0.02
Ta  0.000  0.500  0.748  0.02
Ta  0.000  0.000  0.000  0.09
Ta  0.000  0.000  0.500  -0.02
Co  0.500  0.500  0.000  1.27

Summary:
The value obtained for the total moment is 1.6 μB/cell. The formation energy is -161 kJ/mol of formula units.

=====

Please write out number 2 again, unchanged.
# Nd8AlTl2

Crystalline Nd8AlTl2 at its relaxed geometry (GGA-PBE, the Alexandria database).

a b c (Å): 5.823 8.867 8.867
angles (deg): 118.58 103.97 103.97
Sites, in units of the cell vectors:
Nd  0.923  0.688  0.907
Nd  0.500  0.217  0.783
Nd  0.500  0.783  0.217
Nd  0.077  0.312  0.093
Nd  0.311  0.611  0.611
Nd  0.689  0.389  0.389
Nd  0.077  0.093  0.312
Nd  0.923  0.907  0.688
Tl  0.000  0.696  0.304
Tl  0.000  0.304  0.696
Al  0.500  0.000  0.000

Summary:
The value obtained for the total moment is 0.0 μB/cell. The distance to the lowest polymorph of the same formula comes out at 85 meV per atom. The formation energy is -104 kJ/mol of formula units.